Record 1
Material: KHf
Method: DFT, PBE-GGA
State: optimized geometry

* calculated density: 6.00 g cm⁻³
* polymorph energy (0 for the lowest one): 0 meV per atom

Unit cell a=3.1865 b=3.1865 c=6.8525 alpha=90.00 beta=90.00 gamma=120.00
Fractional positions:
K (0.0000, 0.0000, 0.0000)
Hf (0.3333, 0.6667, 0.5000)

***

Record 2
Material: AlAgTe
Method: DFT, PBE-GGA
State: optimized geometry

* calculated density: 5.77 g cm⁻³
* polymorph energy (0 for the lowest one): 0 meV per atom

Unit cell a=4.7459 b=4.7459 c=4.7459 alpha=60.00 beta=60.00 gamma=60.00
Fractional positions:
Al (0.0000, 0.0000, 0.0000)
Ag (0.2500, 0.2500, 0.2500)
Te (0.5000, 0.5000, 0.5000)

***

Record 3
Material: CsBeNbTe3
Method: DFT, PBE-GGA
State: optimized geometry

* calculated density: 5.34 g cm⁻³
* energy: -4.463 eV/atom

Unit cell a=8.9747 b=8.9747 c=10.9657 alpha=90.00 beta=90.00 gamma=154.21
Fractional positions:
Cs (0.2424, 0.7576, 0.7500)
Cs (0.7576, 0.2424, 0.2500)
Be (0.0345, 0.9655, 0.2500)
Be (0.9655, 0.0345, 0.7500)
Nb (0.5000, 0.5000, 0.0000)
Nb (0.5000, 0.5000, 0.5000)
Te (0.1123, 0.8877, 0.0617)
Te (0.1123, 0.8877, 0.4383)
Te (0.4459, 0.5541, 0.2500)
Te (0.5541, 0.4459, 0.7500)
Te (0.8877, 0.1123, 0.5617)
Te (0.8877, 0.1123, 0.9383)

***

Record 4
Material: Tb2NbP3
Method: DFT, PBE-GGA
State: optimized geometry

* calculated density: 6.88 g cm⁻³
* energy: -7.205 eV/atom

Unit cell a=3.8528 b=3.8528 c=9.4577 alpha=90.00 beta=90.00 gamma=120.00
Fractional positions:
Tb (0.3333, 0.6667, 0.3206)
Tb (0.6667, 0.3333, 0.6794)
Nb (0.0000, 0.0000, 0.0000)
P (0.0000, 0.0000, 0.5000)
P (0.3333, 0.6667, 0.8565)
P (0.6667, 0.3333, 0.1435)